First-principles (PBE) data for a relaxed structure of LaInBiPb, as listed in Alexandria via LeMat-Bulk.

a b c (Å): 4.8292 4.9083 5.0626
angles (deg): 90.00 90.00 90.00
Closest atoms and distances in Å follow each position.
Atoms (fractional coordinates):
La  0.0000  0.0000  0.0000  4 Bi 3.44, 4 Pb 3.50, 4 In 3.53
In  0.0000  0.5000  0.5000  4 Pb 3.44, 4 Bi 3.50, 4 La 3.53
Bi  0.5000  0.5000  0.0000  4 La 3.44, 4 In 3.50, 4 Pb 3.53
Pb  0.5000  0.0000  0.5000  4 In 3.44, 4 La 3.50, 4 Bi 3.53

Computed properties:
DOS at the Fermi energy (states/eV per atom): 0.530
Final energy (eV/atom): -4.324
Volume (Å³/cell): 120.00

First-principles (PBE) data for a relaxed structure of LaInBiPd2, as listed in Alexandria via LeMat-Bulk.

a b c (Å): 5.1611 5.1611 6.0387
angles (deg): 90.00 90.00 90.00
Closest atoms and distances in Å follow each position.
Atoms (fractional coordinates):
La  0.0000  0.0000  0.0000  2 Bi 3.02
In  0.5000  0.5000  0.0000  4 La 3.65, 8 Pd 3.97
Bi  0.0000  0.0000  0.5000  4 Pd 2.58
Pd  0.0000  0.5000  0.5000  2 Bi 2.58
Pd  0.5000  0.0000  0.5000  2 Bi 2.58

Computed properties:
DOS at the Fermi energy (states/eV per atom): 1.148
Final energy (eV/atom): -4.181
Volume (Å³/cell): 160.85

First-principles (PBE) data for a relaxed structure of LaIn2BiPd, as listed in Alexandria via LeMat-Bulk.

a b c (Å): 5.1793 5.1793 5.5305
angles (deg): 90.00 90.00 90.00
Closest atoms and distances in Å follow each position.
Atoms (fractional coordinates):
La  0.0000  0.0000  0.0000  2 Pd 2.77
In  0.0000  0.5000  0.5000  2 Pd 2.59
In  0.5000  0.0000  0.5000  2 Pd 2.59
Bi  0.5000  0.5000  0.0000  4 La 3.66, 8 In 3.79
Pd  0.0000  0.0000  0.5000  4 In 2.59, 2 La 2.77

Computed properties:
DOS at the Fermi energy (states/eV per atom): 0.414
Final energy (eV/atom): -4.391
Volume (Å³/cell): 148.36